LiSi2Cl: optimized geometry, GGA-PBE.

Values from the calculation:
- V (Å³ per atom) = 24.7
- symmetry = C2/m (12)
- uncorrected formation energy (eV per formula unit) = -1.6
- energy above the most stable polymorph in this dataset (eV per atom) = 0.284

Cell and atoms, written as extended XYZ:
```
4
Lattice="-7.2994 -0.8341 -4.4782 -5.4041 -3.3712 -5.7846 -1.0701 -2.0867 2.5002" Properties=species:S:1:pos:R:3 pbc="T T T"
Cl -3.4434 -1.5730 -1.9407
Li -10.3302 -4.7190 -5.8220
Si -1.1063 -2.0968 2.4672
Si -6.8505 -3.1359 -3.8483
```